# BeInAg2 | Alexandria via LeMat-Bulk | PBE-GGA | relaxed
# Calculated density = 8.18 g/cm³
# Calculated formation energy = 294 meV/atom
# Polymorph energy (0 for the lowest one) = 0.1556 eV/atom
data_BeInAg2
_symmetry_space_group_name_H-M 'P 1'
_symmetry_Int_Tables_number 1
_cell_length_a 4.8859
_cell_length_b 4.8859
_cell_length_c 3.0474
_cell_angle_alpha 90.41
_cell_angle_beta 90.41
_cell_angle_gamma 108.58
loop_
_symmetry_equiv_pos_as_xyz
'x,y,z'
loop_
_atom_site_label
_atom_site_fract_x
_atom_site_fract_y
_atom_site_fract_z
Be1 0.0000 0.0000 0.0000
In1 0.5000 0.5000 0.0000
Ag1 0.0000 0.5000 0.5000
Ag2 0.5000 0.0000 0.5000

---

# CaZnCdHg2 | Alexandria via LeMat-Bulk | PBE-GGA | relaxed
# Calculated density = 8.61 g/cm³
# Calculated formation energy = -222 meV/atom
data_CaZnCdHg2
_symmetry_space_group_name_H-M 'P 1'
_symmetry_Int_Tables_number 1
_cell_length_a 5.7095
_cell_length_b 6.8719
_cell_length_c 6.0866
_cell_angle_alpha 90.00
_cell_angle_beta 90.00
_cell_angle_gamma 90.00
loop_
_symmetry_equiv_pos_as_xyz
'x,y,z'
loop_
_atom_site_label
_atom_site_fract_x
_atom_site_fract_y
_atom_site_fract_z
Ca1 0.2500 0.0000 0.2453
Ca2 0.7500 0.0000 0.7547
Zn1 0.0000 0.5000 0.0000
Zn2 0.5000 0.5000 0.0000
Cd1 0.2500 0.5000 0.3869
Cd2 0.7500 0.5000 0.6131
Hg1 0.2500 0.2188 0.7496
Hg2 0.2500 0.7812 0.7496
Hg3 0.7500 0.2188 0.2504
Hg4 0.7500 0.7812 0.2504

---

# CuRePb | Alexandria via LeMat-Bulk | PBE-GGA | relaxed
# Calculated density = 13.83 g/cm³
# Calculated formation energy = 896 meV/atom
# Polymorph energy (0 for the lowest one) = 0.0225 eV/atom
data_CuRePb
_symmetry_space_group_name_H-M 'P 1'
_symmetry_Int_Tables_number 1
_cell_length_a 3.0086
_cell_length_b 3.0086
_cell_length_c 6.9973
_cell_angle_alpha 90.00
_cell_angle_beta 90.00
_cell_angle_gamma 120.00
loop_
_symmetry_equiv_pos_as_xyz
'x,y,z'
loop_
_atom_site_label
_atom_site_fract_x
_atom_site_fract_y
_atom_site_fract_z
Cu1 0.0000 0.0000 0.0000
Re1 0.6667 0.3333 0.7242
Pb1 0.3333 0.6667 0.3615

---

# YRe3 | Alexandria via LeMat-Bulk | PBE-GGA | relaxed
# Calculated density = 15.10 g/cm³
# Calculated formation energy = 264 meV/atom
# Polymorph energy (0 for the lowest one) = 0.0000 eV/atom
data_YRe3
_symmetry_space_group_name_H-M 'P 1'
_symmetry_Int_Tables_number 1
_cell_length_a 3.1330
_cell_length_b 3.1330
_cell_length_c 7.2546
_cell_angle_alpha 90.00
_cell_angle_beta 90.00
_cell_angle_gamma 90.00
loop_
_symmetry_equiv_pos_as_xyz
'x,y,z'
loop_
_atom_site_label
_atom_site_fract_x
_atom_site_fract_y
_atom_site_fract_z
Y1 0.0000 0.0000 0.0000
Re1 0.0000 0.0000 0.5000
Re2 0.5000 0.5000 0.2938
Re3 0.5000 0.5000 0.7062

---

# Ta2Ga2Hg | Alexandria via LeMat-Bulk | PBE-GGA | relaxed
# Calculated density = 13.37 g/cm³
# Calculated formation energy = 214 meV/atom
# Polymorph energy (0 for the lowest one) = 0.0000 eV/atom
data_Ta2Ga2Hg
_symmetry_space_group_name_H-M 'P 1'
_symmetry_Int_Tables_number 1
_cell_length_a 6.8446
_cell_length_b 6.8446
_cell_length_c 3.7218
_cell_angle_alpha 90.00
_cell_angle_beta 90.00
_cell_angle_gamma 90.00
loop_
_symmetry_equiv_pos_as_xyz
'x,y,z'
loop_
_atom_site_label
_atom_site_fract_x
_atom_site_fract_y
_atom_site_fract_z
Ta1 0.1751 0.3249 0.0000
Ta2 0.3249 0.8249 0.0000
Ta3 0.6751 0.1751 0.0000
Ta4 0.8249 0.6751 0.0000
Ga1 0.1251 0.6251 0.5000
Ga2 0.3749 0.1251 0.5000
Ga3 0.6251 0.8749 0.5000
Ga4 0.8749 0.3749 0.5000
Hg1 0.0000 0.0000 0.5000
Hg2 0.5000 0.5000 0.5000

---

# Nd4CoCu | Alexandria via LeMat-Bulk | PBE-GGA | relaxed
# Calculated density = 7.11 g/cm³
# Calculated formation energy = -58 meV/atom
# Polymorph energy (0 for the lowest one) = 0.0000 eV/atom
data_Nd4CoCu
_symmetry_space_group_name_H-M 'P 1'
_symmetry_Int_Tables_number 1
_cell_length_a 6.2628
_cell_length_b 7.0500
_cell_length_c 7.8186
_cell_angle_alpha 90.00
_cell_angle_beta 108.92
_cell_angle_gamma 90.00
loop_
_symmetry_equiv_pos_as_xyz
'x,y,z'
loop_
_atom_site_label
_atom_site_fract_x
_atom_site_fract_y
_atom_site_fract_z
Nd1 0.0111 0.0031 0.2349
Nd2 0.0111 0.4969 0.2349
Nd3 0.4381 0.2500 0.6218
Nd4 0.4411 0.2500 0.0994
Nd5 0.5589 0.7500 0.9006
Nd6 0.5619 0.7500 0.3782
Nd7 0.9889 0.5031 0.7651
Nd8 0.9889 0.9969 0.7651
Co1 0.2218 0.7500 0.0562
Co2 0.7782 0.2500 0.9438
Cu1 0.2047 0.7500 0.5521
Cu2 0.7953 0.2500 0.4479

---

# AcNdAl | Alexandria via LeMat-Bulk | PBE-GGA | relaxed
# Calculated density = 6.75 g/cm³
# Calculated formation energy = -145 meV/atom
# Polymorph energy (0 for the lowest one) = 0.0000 eV/atom
data_AcNdAl
_symmetry_space_group_name_H-M 'P 1'
_symmetry_Int_Tables_number 1
_cell_length_a 7.4398
_cell_length_b 7.4398
_cell_length_c 7.4398
_cell_angle_alpha 150.76
_cell_angle_beta 150.76
_cell_angle_gamma 41.83
loop_
_symmetry_equiv_pos_as_xyz
'x,y,z'
loop_
_atom_site_label
_atom_site_fract_x
_atom_site_fract_y
_atom_site_fract_z
Ac1 0.0000 0.0000 0.0000
Nd1 0.7131 0.7131 0.0000
Al1 0.3440 0.3440 0.0000

---

# AlWC3 | Alexandria via LeMat-Bulk | PBE-GGA | relaxed
# Calculated density = 5.91 g/cm³
# Calculated formation energy = 1775 meV/atom
# Polymorph energy (0 for the lowest one) = 0.0000 eV/atom
data_AlWC3
_symmetry_space_group_name_H-M 'P 1'
_symmetry_Int_Tables_number 1
_cell_length_a 4.1077
_cell_length_b 4.1077
_cell_length_c 4.1077
_cell_angle_alpha 90.00
_cell_angle_beta 90.00
_cell_angle_gamma 90.00
loop_
_symmetry_equiv_pos_as_xyz
'x,y,z'
loop_
_atom_site_label
_atom_site_fract_x
_atom_site_fract_y
_atom_site_fract_z
Al1 0.0000 0.0000 0.0000
W1 0.5000 0.5000 0.5000
C1 0.0000 0.5000 0.5000
C2 0.5000 0.0000 0.5000
C3 0.5000 0.5000 0.0000

---

# LiZr2Cl | Alexandria via LeMat-Bulk | PBE-GGA | relaxed
# Calculated density = 4.37 g/cm³
# Raw formation energy = 0.143 eV/f.u.
# Polymorph energy (0 for the lowest one) = 0.5878 eV/atom
data_LiZr2Cl
_symmetry_space_group_name_H-M 'P 1'
_symmetry_Int_Tables_number 1
_cell_length_a 3.3719
_cell_length_b 4.6563
_cell_length_c 5.4461
_cell_angle_alpha 90.00
_cell_angle_beta 90.00
_cell_angle_gamma 90.00
loop_
_symmetry_equiv_pos_as_xyz
'x,y,z'
loop_
_atom_site_label
_atom_site_fract_x
_atom_site_fract_y
_atom_site_fract_z
Li1 0.0000 0.0000 0.0000
Zr1 0.0000 0.5000 0.5000
Zr2 0.5000 0.0000 0.5000
Cl1 0.5000 0.5000 0.0000

---

# ScHgOs3 | Alexandria via LeMat-Bulk | PBE-GGA | relaxed
# Calculated density = 11.70 g/cm³
# Calculated formation energy = 2582 meV/atom
# Polymorph energy (0 for the lowest one) = 0.3215 eV/atom
data_ScHgOs3
_symmetry_space_group_name_H-M 'P 1'
_symmetry_Int_Tables_number 1
_cell_length_a 4.8745
_cell_length_b 4.8745
_cell_length_c 4.8745
_cell_angle_alpha 90.00
_cell_angle_beta 90.00
_cell_angle_gamma 90.00
loop_
_symmetry_equiv_pos_as_xyz
'x,y,z'
loop_
_atom_site_label
_atom_site_fract_x
_atom_site_fract_y
_atom_site_fract_z
Sc1 0.0000 0.0000 0.0000
Hg1 0.5000 0.5000 0.5000
Os1 0.0000 0.5000 0.5000
Os2 0.5000 0.0000 0.5000
Os3 0.5000 0.5000 0.0000

---

# CePu3S4 | Alexandria via LeMat-Bulk | PBE-GGA | relaxed
# Calculated density = 9.30 g/cm³
# Raw formation energy = -14.628 eV/f.u.
data_CePu3S4
_symmetry_space_group_name_H-M 'P 1'
_symmetry_Int_Tables_number 1
_cell_length_a 5.6327
_cell_length_b 5.6327
_cell_length_c 5.6327
_cell_angle_alpha 90.00
_cell_angle_beta 90.00
_cell_angle_gamma 90.00
loop_
_symmetry_equiv_pos_as_xyz
'x,y,z'
loop_
_atom_site_label
_atom_site_fract_x
_atom_site_fract_y
_atom_site_fract_z
Ce1 0.0000 0.0000 0.0000
Pu1 0.0000 0.5000 0.5000
Pu2 0.5000 0.0000 0.5000
Pu3 0.5000 0.5000 0.0000
S1 0.0000 0.0000 0.5000
S2 0.0000 0.5000 0.0000
S3 0.5000 0.0000 0.0000
S4 0.5000 0.5000 0.5000

---

# Dy5Y2Mg | Alexandria via LeMat-Bulk | PBE-GGA | relaxed
# Calculated density = 6.80 g/cm³
# Calculated formation energy = 49 meV/atom
# Polymorph energy (0 for the lowest one) = 0.0272 eV/atom
data_Dy5Y2Mg
_symmetry_space_group_name_H-M 'P 1'
_symmetry_Int_Tables_number 1
_cell_length_a 3.5635
_cell_length_b 8.6331
_cell_length_c 16.4203
_cell_angle_alpha 80.77
_cell_angle_beta 83.84
_cell_angle_gamma 89.83
loop_
_symmetry_equiv_pos_as_xyz
'x,y,z'
loop_
_atom_site_label
_atom_site_fract_x
_atom_site_fract_y
_atom_site_fract_z
Dy1 0.0524 0.4882 0.4071
Dy2 0.0799 0.1350 0.3450
Dy3 0.1271 0.7851 0.2450
Dy4 0.2073 0.4651 0.0890
Dy5 0.3230 0.8810 0.8464
Dy6 0.6770 0.1190 0.1536
Dy7 0.7927 0.5349 0.9110
Dy8 0.8729 0.2149 0.7550
Dy9 0.9201 0.8650 0.6550
Dy10 0.9476 0.5118 0.5929
Y1 0.2731 0.1805 0.9575
Y2 0.4804 0.1903 0.5413
Y3 0.5196 0.8097 0.4587
Y4 0.7269 0.8195 0.0425
Mg1 0.3716 0.5535 0.7493
Mg2 0.6284 0.4465 0.2507

---

Going through the records in order, we get energy values of -2.748 -1.181 -5.855 -10.688 -5.798 -5.104 -4.351 -7.098 -5.178 -5.482 -10.008 -4.642 eV/atom.